# PBE CaClF2, optimized geometry
# Uncorrected formation energy: -2.828 eV per atom
# Total magnetization: 0.000 μB per atom
# Excess energy over the best structure of this formula in the dataset: 25 meV/atom
# Calculated total energy: -4.726 eV per atom
# Calculated volume: 21.1 Å³/atom
data_CaClF2
_cell_length_a 4.368
_cell_length_b 6.663
_cell_length_c 6.785
_cell_angle_alpha 104.28
_cell_angle_beta 104.97
_cell_angle_gamma 108.36
_symmetry_space_group_name_H-M 'P 1'
_symmetry_Int_Tables_number 1
loop_
_symmetry_equiv_pos_as_xyz
'x,y,z'
loop_
_atom_site_label
_atom_site_type_symbol
_atom_site_fract_x
_atom_site_fract_y
_atom_site_fract_z
Ca1 Ca 0.000 0.000 0.000
Ca2 Ca 0.496 0.740 0.298
Cl1 Cl 0.491 0.347 0.791
Cl2 Cl 0.629 0.306 0.526
F1 F 0.268 0.373 0.096
F2 F 0.513 0.958 0.077
F3 F 0.723 0.844 0.650
F4 F 0.997 0.795 0.235